# 1
Cs2Li2NdBr6: optimized geometry, PBE.

Unit cell a=8.243 b=7.902 c=8.211 alpha=108.54 beta=90.00 gamma=121.44
Sites, in units of the cell vectors:
Cs (0.702, 0.403, 0.175)
Cs (0.298, 0.597, 0.825)
Li (0.934, 0.867, 0.732)
Li (0.066, 0.133, 0.268)
Nd (0.500, 0.000, 0.500)
Br (0.742, 0.484, 0.647)
Br (0.201, 0.913, 0.222)
Br (0.289, 0.087, 0.778)
Br (0.799, 0.087, 0.778)
Br (0.711, 0.913, 0.222)
Br (0.258, 0.516, 0.353)

Results
calculated total energy: -37.8 eV per formula unit
ΔE_f (raw): -1.586 eV/atom

---

# 2
K2NbMo: optimized geometry, PBE.

Unit cell a=12.724 b=12.724 c=9.299 alpha=46.83 beta=46.83 gamma=90.00
Sites, in units of the cell vectors:
K (0.781, 0.125, 0.250)
K (0.969, 0.625, 0.250)
K (0.375, 0.219, 0.750)
K (0.875, 0.031, 0.750)
Mo (0.000, 0.000, 0.000)
Mo (0.750, 0.250, 0.500)
Nb (0.500, 0.500, 0.000)
Nb (0.250, 0.750, 0.500)

Results
calculated total energy: -16.7 eV per formula unit
formation energy: 1597 meV/atom
ΔE to the lowest computed polymorph: 0.000 eV per formula unit

---

# 3
CaCe2Te4: optimized geometry, PBE.

Unit cell a=9.091 b=9.013 c=9.013 alpha=60.46 beta=59.71 gamma=59.71
Sites, in units of the cell vectors:
Ca (0.500, 0.500, 0.000)
Ca (0.000, 0.500, 0.000)
Te (0.254, 0.246, 0.247)
Te (0.746, 0.253, 0.254)
Te (0.254, 0.747, 0.746)
Te (0.746, 0.754, 0.753)
Te (0.756, 0.751, 0.251)
Te (0.757, 0.249, 0.749)
Te (0.243, 0.751, 0.251)
Te (0.244, 0.249, 0.749)
Ce (0.000, 0.000, 0.000)
Ce (0.000, 0.000, 0.500)
Ce (0.000, 0.500, 0.500)
Ce (0.500, 0.000, 0.500)

Results
calculated total energy: -36.2 eV per formula unit
ΔE_f (raw): -1.399 eV/atom
ΔE to the lowest computed polymorph: 0.210 eV per formula unit

---

# 4
CeHoGe: optimized geometry, PBE.

Unit cell a=6.135 b=4.012 c=7.479 alpha=74.44 beta=90.00 gamma=90.00
Sites, in units of the cell vectors:
Ce (0.750, 0.602, 0.796)
Ce (0.250, 0.398, 0.204)
Ge (0.500, 0.000, 0.000)
Ge (0.000, 0.000, 0.000)
Ho (0.750, 0.831, 0.337)
Ho (0.250, 0.169, 0.663)

Results
calculated total energy: -15.8 eV per formula unit
formation energy: -214 meV/atom

---

- Look up the calculated total energy of the second one.
  -16.7 eV per formula unit

---

- Which of these has the highest calculated total energy?
  CeHoGe

---

- Which of these has the lowest calculated total energy?
  Cs2Li2NdBr6